[1]
# AlPt2Cl, optimized geometry, DFT GGA-PBE
data_AlPt2Cl
_chemical_formula_sum 'Al1 Pt2 Cl1'
_space_group_name_H-M_alt 'P m m m'
_space_group_IT_number 47
_cell_length_a 2.887
_cell_length_b 4.332
_cell_length_c 5.296
_cell_angle_alpha 90.00
_cell_angle_beta 90.00
_cell_angle_gamma 90.00
loop_
_space_group_symop_operation_xyz
'x,y,z'
'-x,-y,-z'
'-x,-y,z'
'x,y,-z'
'x,-y,-z'
'-x,y,z'
'-x,y,-z'
'x,-y,z'
loop_
_atom_site_label
_atom_site_type_symbol
_atom_site_fract_x
_atom_site_fract_y
_atom_site_fract_z
_atom_site_occupancy
Al1 Al 0.000 0.000 0.000 1
Pt1 Pt 0.000 0.500 0.500 1
Pt2 Pt 0.500 0.500 0.000 1
Cl1 Cl 0.500 0.000 0.500 1
# - E_form (uncorrected): -0.06 eV per atom
# - E above lowest polymorph: 458 meV/atom
# - M_tot: 0.00 Bohr magnetons per cell

=====

[2]
# AlPt2Cl, optimized geometry, DFT GGA-PBE
data_AlPt2Cl
_chemical_formula_sum 'Al1 Pt2 Cl1'
_space_group_name_H-M_alt 'P m m 2'
_space_group_IT_number 25
_cell_length_a 3.512
_cell_length_b 3.653
_cell_length_c 6.281
_cell_angle_alpha 90.00
_cell_angle_beta 90.00
_cell_angle_gamma 90.00
loop_
_space_group_symop_operation_xyz
'x,y,z'
'-x,-y,z'
'-x,y,z'
'x,-y,z'
loop_
_atom_site_label
_atom_site_type_symbol
_atom_site_fract_x
_atom_site_fract_y
_atom_site_fract_z
_atom_site_occupancy
Al1 Al 0.000 0.000 0.000 1
Pt1 Pt 0.000 0.500 0.738 1
Pt2 Pt 0.500 0.500 0.072 1
Cl1 Cl 0.500 0.500 0.465 1
# - E_form (uncorrected): -0.42 eV per atom
# - E above lowest polymorph: 95 meV/atom
# - M_tot: 0.00 Bohr magnetons per cell

=====

[3]
# AlPtCl2, optimized geometry, DFT GGA-PBE
data_AlPtCl2
_chemical_formula_sum 'Al1 Pt1 Cl2'
_space_group_name_H-M_alt 'P m m m'
_space_group_IT_number 47
_cell_length_a 3.062
_cell_length_b 4.247
_cell_length_c 5.557
_cell_angle_alpha 90.00
_cell_angle_beta 90.00
_cell_angle_gamma 90.00
loop_
_space_group_symop_operation_xyz
'x,y,z'
'-x,-y,-z'
'-x,-y,z'
'x,y,-z'
'x,-y,-z'
'-x,y,z'
'-x,y,-z'
'x,-y,z'
loop_
_atom_site_label
_atom_site_type_symbol
_atom_site_fract_x
_atom_site_fract_y
_atom_site_fract_z
_atom_site_occupancy
Al1 Al 0.000 0.000 0.000 1
Pt1 Pt 0.500 0.000 0.500 1
Cl1 Cl 0.000 0.500 0.500 1
Cl2 Cl 0.500 0.500 0.000 1
# - E_form (uncorrected): 0.03 eV per atom
# - E above lowest polymorph: 749 meV/atom
# - M_tot: 0.00 Bohr magnetons per cell

=====

[4]
# AlPt2Cl, optimized geometry, DFT GGA-PBE
data_AlPt2Cl
_chemical_formula_sum 'Al3 Pt6 Cl3'
_space_group_name_H-M_alt 'R -3 m'
_space_group_IT_number 166
_space_group_name_Hall '-R 3 2"'
_cell_length_a 2.9552
_cell_length_b 2.9552
_cell_length_c 25.9282
_cell_angle_alpha 90.00
_cell_angle_beta 90.00
_cell_angle_gamma 120.00
loop_
_atom_site_label
_atom_site_type_symbol
_atom_site_fract_x
_atom_site_fract_y
_atom_site_fract_z
_atom_site_occupancy
Al1 Al 0.0000 0.0000 0.0000 1
Pt1 Pt 0.0000 0.0000 0.2617 1
Cl1 Cl 0.0000 0.0000 0.5000 1
# - E_form (uncorrected): -0.39 eV per atom
# - E above lowest polymorph: 132 meV/atom
# - M_tot: 0.00 Bohr magnetons per cell

=====

[5]
# AlPtCl2, optimized geometry, DFT GGA-PBE
data_AlPtCl2
_chemical_formula_sum 'Al2 Pt2 Cl4'
_space_group_name_H-M_alt 'C 1 2/m 1'
_space_group_IT_number 12
_cell_length_a 15.118
_cell_length_b 3.393
_cell_length_c 3.848
_cell_angle_alpha 90.00
_cell_angle_beta 92.23
_cell_angle_gamma 90.00
loop_
_space_group_symop_operation_xyz
'x,y,z'
'-x,-y,-z'
'-x,y,-z'
'x,-y,z'
'x+1/2,y+1/2,z'
'-x+1/2,-y+1/2,-z'
'-x+1/2,y+1/2,-z'
'x+1/2,-y+1/2,z'
loop_
_atom_site_label
_atom_site_type_symbol
_atom_site_fract_x
_atom_site_fract_y
_atom_site_fract_z
_atom_site_occupancy
Al1 Al 0.000 0.000 0.000 1
Pt1 Pt 0.000 0.500 0.500 1
Cl1 Cl 0.142 0.500 0.759 1
# - E_form (uncorrected): -0.58 eV per atom
# - E above lowest polymorph: 144 meV/atom
# - M_tot: 0.00 Bohr magnetons per cell

=====

[6]
# AlPtCl2, optimized geometry, DFT GGA-PBE
data_AlPtCl2
_chemical_formula_sum 'Al1 Pt1 Cl2'
_space_group_name_H-M_alt 'P m m 2'
_space_group_IT_number 25
_cell_length_a 2.868
_cell_length_b 3.274
_cell_length_c 9.471
_cell_angle_alpha 90.00
_cell_angle_beta 90.00
_cell_angle_gamma 90.00
loop_
_space_group_symop_operation_xyz
'x,y,z'
'-x,-y,z'
'-x,y,z'
'x,-y,z'
loop_
_atom_site_label
_atom_site_type_symbol
_atom_site_fract_x
_atom_site_fract_y
_atom_site_fract_z
_atom_site_occupancy
Al1 Al 0.000 0.000 0.000 1
Pt1 Pt 0.500 0.500 0.860 1
Cl1 Cl 0.000 0.000 0.227 1
Cl2 Cl 0.500 0.500 0.602 1
# - E_form (uncorrected): -0.60 eV per atom
# - E above lowest polymorph: 123 meV/atom
# - M_tot: 0.01 Bohr magnetons per cell

=====

[7]
# AlPtCl2, optimized geometry, DFT GGA-PBE
data_AlPtCl2
_chemical_formula_sum 'Al2 Pt2 Cl4'
_space_group_name_H-M_alt 'C m m 2'
_space_group_IT_number 35
_cell_length_a 3.054
_cell_length_b 7.172
_cell_length_c 9.102
_cell_angle_alpha 90.00
_cell_angle_beta 90.00
_cell_angle_gamma 90.00
loop_
_space_group_symop_operation_xyz
'x,y,z'
'-x,-y,z'
'-x,y,z'
'x,-y,z'
'x+1/2,y+1/2,z'
'-x+1/2,-y+1/2,z'
'-x+1/2,y+1/2,z'
'x+1/2,-y+1/2,z'
loop_
_atom_site_label
_atom_site_type_symbol
_atom_site_fract_x
_atom_site_fract_y
_atom_site_fract_z
_atom_site_occupancy
Al1 Al 0.000 0.000 0.000 1
Pt1 Pt 0.000 0.500 0.798 1
Cl1 Cl 0.000 0.000 0.580 1
Cl2 Cl 0.000 0.500 0.194 1
# - E_form (uncorrected): -0.47 eV per atom
# - E above lowest polymorph: 248 meV/atom
# - M_tot: 0.00 Bohr magnetons per cell

=====

[8]
# AlPtCl2, optimized geometry, DFT GGA-PBE
data_AlPtCl2
_chemical_formula_sum 'Al4 Pt4 Cl8'
_space_group_name_H-M_alt 'F m -3 m'
_space_group_IT_number 225
_space_group_name_Hall '-F 4 2 3'
_cell_length_a 6.630
_cell_length_b 6.630
_cell_length_c 6.630
_cell_angle_alpha 90.00
_cell_angle_beta 90.00
_cell_angle_gamma 90.00
loop_
_atom_site_label
_atom_site_type_symbol
_atom_site_fract_x
_atom_site_fract_y
_atom_site_fract_z
_atom_site_occupancy
Al1 Al 0.000 0.000 0.000 1
Pt1 Pt 0.000 0.000 0.500 1
Cl1 Cl 0.250 0.250 0.250 1
# - E_form (uncorrected): 0.33 eV per atom
# - E above lowest polymorph: 1055 meV/atom
# - M_tot: 0.00 Bohr magnetons per cell

=====

[9]
# AlPtCl2, optimized geometry, DFT GGA-PBE
data_AlPtCl2
_chemical_formula_sum 'Al1 Pt1 Cl2'
_space_group_name_H-M_alt 'P 4/m m m'
_space_group_IT_number 123
_space_group_name_Hall '-P 4 2'
_cell_length_a 2.967
_cell_length_b 2.967
_cell_length_c 9.390
_cell_angle_alpha 90.00
_cell_angle_beta 90.00
_cell_angle_gamma 90.00
loop_
_atom_site_label
_atom_site_type_symbol
_atom_site_fract_x
_atom_site_fract_y
_atom_site_fract_z
_atom_site_occupancy
Al1 Al 0.000 0.000 0.000 1
Pt1 Pt 0.000 0.000 0.500 1
Cl1 Cl 0.500 0.500 0.164 1
# - E_form (uncorrected): 0.28 eV per atom
# - E above lowest polymorph: 1001 meV/atom
# - M_tot: 0.65 Bohr magnetons per cell

=====

[10]
# AlPt2Cl, optimized geometry, DFT GGA-PBE
data_AlPt2Cl
_chemical_formula_sum 'Al2 Pt4 Cl2'
_space_group_name_H-M_alt 'C m m 2'
_space_group_IT_number 35
_cell_length_a 4.090
_cell_length_b 4.100
_cell_length_c 8.688
_cell_angle_alpha 90.00
_cell_angle_beta 90.00
_cell_angle_gamma 90.00
loop_
_space_group_symop_operation_xyz
'x,y,z'
'-x,-y,z'
'-x,y,z'
'x,-y,z'
'x+1/2,y+1/2,z'
'-x+1/2,-y+1/2,z'
'-x+1/2,y+1/2,z'
'x+1/2,-y+1/2,z'
loop_
_atom_site_label
_atom_site_type_symbol
_atom_site_fract_x
_atom_site_fract_y
_atom_site_fract_z
_atom_site_occupancy
Al1 Al 0.000 0.000 0.000 1
Pt1 Pt 0.000 0.000 0.410 1
Pt2 Pt 0.000 0.500 0.179 1
Cl1 Cl 0.000 0.500 0.803 1
# - E_form (uncorrected): -0.22 eV per atom
# - E above lowest polymorph: 301 meV/atom
# - M_tot: 0.00 Bohr magnetons per cell

=====

[11]
# AlPt2Cl, optimized geometry, DFT GGA-PBE
data_AlPt2Cl
_chemical_formula_sum 'Al1 Pt2 Cl1'
_space_group_name_H-M_alt 'P 4/m m m'
_space_group_IT_number 123
_space_group_name_Hall '-P 4 2'
_cell_length_a 4.135
_cell_length_b 4.135
_cell_length_c 3.760
_cell_angle_alpha 90.00
_cell_angle_beta 90.00
_cell_angle_gamma 90.00
loop_
_atom_site_label
_atom_site_type_symbol
_atom_site_fract_x
_atom_site_fract_y
_atom_site_fract_z
_atom_site_occupancy
Al1 Al 0.000 0.000 0.000 1
Pt1 Pt 0.000 0.500 0.500 1
Cl1 Cl 0.500 0.500 0.000 1
# - E_form (uncorrected): 0.11 eV per atom
# - E above lowest polymorph: 625 meV/atom
# - M_tot: 0.00 Bohr magnetons per cell

=====

[12]
# AlPt2Cl, optimized geometry, DFT GGA-PBE
data_AlPt2Cl
_chemical_formula_sum 'Al4 Pt8 Cl4'
_space_group_name_H-M_alt 'F -4 3 m'
_space_group_IT_number 216
_space_group_name_Hall 'F -4 2 3'
_cell_length_a 6.414
_cell_length_b 6.414
_cell_length_c 6.414
_cell_angle_alpha 90.00
_cell_angle_beta 90.00
_cell_angle_gamma 90.00
loop_
_atom_site_label
_atom_site_type_symbol
_atom_site_fract_x
_atom_site_fract_y
_atom_site_fract_z
_atom_site_occupancy
Al1 Al 0.000 0.000 0.000 1
Pt1 Pt 0.000 0.000 0.500 1
Pt2 Pt 0.250 0.250 0.250 1
Cl1 Cl 0.250 0.250 0.750 1
# - E_form (uncorrected): 0.08 eV per atom
# - E above lowest polymorph: 593 meV/atom
# - M_tot: 0.00 Bohr magnetons per cell

=====

[13]
# AlPtCl2, optimized geometry, DFT GGA-PBE
data_AlPtCl2
_chemical_formula_sum 'Al3 Pt3 Cl6'
_space_group_name_H-M_alt 'R 3 m'
_space_group_IT_number 160
_space_group_name_Hall 'R 3 -2"'
_cell_length_a 3.2661
_cell_length_b 3.2661
_cell_length_c 25.9282
_cell_angle_alpha 90.00
_cell_angle_beta 90.00
_cell_angle_gamma 120.00
loop_
_atom_site_label
_atom_site_type_symbol
_atom_site_fract_x
_atom_site_fract_y
_atom_site_fract_z
_atom_site_occupancy
Al1 Al 0.0000 0.0000 0.0000 1
Pt1 Pt 0.0000 0.0000 0.7293 1
Cl1 Cl 0.0000 0.0000 0.2715 1
Cl2 Cl 0.0000 0.0000 0.4721 1
# - E_form (uncorrected): -0.63 eV per atom
# - E above lowest polymorph: 92 meV/atom
# - M_tot: 0.02 Bohr magnetons per cell

=====

[14]
# AlPt3Cl, optimized geometry, DFT GGA-PBE
data_AlPt3Cl
_chemical_formula_sum 'Al1 Pt3 Cl1'
_space_group_name_H-M_alt 'P m -3 m'
_space_group_IT_number 221
_space_group_name_Hall '-P 4 2 3'
_cell_length_a 4.656
_cell_length_b 4.656
_cell_length_c 4.656
_cell_angle_alpha 90.00
_cell_angle_beta 90.00
_cell_angle_gamma 90.00
loop_
_atom_site_label
_atom_site_type_symbol
_atom_site_fract_x
_atom_site_fract_y
_atom_site_fract_z
_atom_site_occupancy
Al1 Al 0.000 0.000 0.000 1
Pt1 Pt 0.000 0.000 0.500 1
Cl1 Cl 0.500 0.500 0.500 1
# - E_form (uncorrected): 0.63 eV per atom
# - E above lowest polymorph: 0 meV/atom
# - M_tot: 0.00 Bohr magnetons per cell

=====

[15]
# AlPt2Cl, optimized geometry, DFT GGA-PBE
data_AlPt2Cl
_chemical_formula_sum 'Al2 Pt4 Cl2'
_space_group_name_H-M_alt 'I m m 2'
_space_group_IT_number 44
_cell_length_a 2.902
_cell_length_b 4.279
_cell_length_c 12.372
_cell_angle_alpha 90.00
_cell_angle_beta 90.00
_cell_angle_gamma 90.00
loop_
_space_group_symop_operation_xyz
'x,y,z'
'-x,-y,z'
'-x,y,z'
'x,-y,z'
'x+1/2,y+1/2,z+1/2'
'-x+1/2,-y+1/2,z+1/2'
'-x+1/2,y+1/2,z+1/2'
'x+1/2,-y+1/2,z+1/2'
loop_
_atom_site_label
_atom_site_type_symbol
_atom_site_fract_x
_atom_site_fract_y
_atom_site_fract_z
_atom_site_occupancy
Al1 Al 0.000 0.000 0.000 1
Pt1 Pt 0.000 0.000 0.454 1
Pt2 Pt 0.000 0.500 0.327 1
Cl1 Cl 0.000 0.500 0.656 1
# - E_form (uncorrected): -0.27 eV per atom
# - E above lowest polymorph: 251 meV/atom
# - M_tot: 0.00 Bohr magnetons per cell

=====

[16]
# AlPtCl6, optimized geometry, DFT GGA-PBE
data_AlPtCl6
_chemical_formula_sum 'Al2 Pt2 Cl12'
_space_group_name_H-M_alt 'C 1 2/m 1'
_space_group_IT_number 12
_cell_length_a 6.064
_cell_length_b 12.026
_cell_length_c 6.069
_cell_angle_alpha 90.00
_cell_angle_beta 110.05
_cell_angle_gamma 90.00
loop_
_space_group_symop_operation_xyz
'x,y,z'
'-x,-y,-z'
'-x,y,-z'
'x,-y,z'
'x+1/2,y+1/2,z'
'-x+1/2,-y+1/2,-z'
'-x+1/2,y+1/2,-z'
'x+1/2,-y+1/2,z'
loop_
_atom_site_label
_atom_site_type_symbol
_atom_site_fract_x
_atom_site_fract_y
_atom_site_fract_z
_atom_site_occupancy
Al1 Al 0.000 0.000 0.000 1
Pt1 Pt 0.000 0.500 0.500 1
Cl1 Cl 0.231 0.000 0.769 1
Cl2 Cl 0.246 0.366 0.746 1
# - E_form (uncorrected): -0.82 eV per atom
# - M_tot: 2.13 Bohr magnetons per cell

=====

[17]
# AlPtCl2, optimized geometry, DFT GGA-PBE
data_AlPtCl2
_chemical_formula_sum 'Al2 Pt2 Cl4'
_space_group_name_H-M_alt 'I m m 2'
_space_group_IT_number 44
_cell_length_a 3.019
_cell_length_b 7.295
_cell_length_c 9.220
_cell_angle_alpha 90.00
_cell_angle_beta 90.00
_cell_angle_gamma 90.00
loop_
_space_group_symop_operation_xyz
'x,y,z'
'-x,-y,z'
'-x,y,z'
'x,-y,z'
'x+1/2,y+1/2,z+1/2'
'-x+1/2,-y+1/2,z+1/2'
'-x+1/2,y+1/2,z+1/2'
'x+1/2,-y+1/2,z+1/2'
loop_
_atom_site_label
_atom_site_type_symbol
_atom_site_fract_x
_atom_site_fract_y
_atom_site_fract_z
_atom_site_occupancy
Al1 Al 0.000 0.000 0.000 1
Pt1 Pt 0.000 0.500 0.296 1
Cl1 Cl 0.000 0.000 0.577 1
Cl2 Cl 0.000 0.500 0.688 1
# - E_form (uncorrected): -0.51 eV per atom
# - E above lowest polymorph: 207 meV/atom
# - M_tot: 0.00 Bohr magnetons per cell

=====

[18]
# AlPtCl2, optimized geometry, DFT GGA-PBE
data_AlPtCl2
_chemical_formula_sum 'Al4 Pt4 Cl8'
_space_group_name_H-M_alt 'F m m m'
_space_group_IT_number 69
_space_group_name_Hall '-F 2 2'
_cell_length_a 5.893
_cell_length_b 7.238
_cell_length_c 7.296
_cell_angle_alpha 90.00
_cell_angle_beta 90.00
_cell_angle_gamma 90.00
loop_
_atom_site_label
_atom_site_type_symbol
_atom_site_fract_x
_atom_site_fract_y
_atom_site_fract_z
_atom_site_occupancy
Al1 Al 0.000 0.000 0.000 1
Pt1 Pt 0.000 0.000 0.500 1
Cl1 Cl 0.000 0.250 0.250 1
# - E_form (uncorrected): -0.05 eV per atom
# - E above lowest polymorph: 671 meV/atom
# - M_tot: 0.00 Bohr magnetons per cell

=====

[19]
# AlPtCl2, optimized geometry, DFT GGA-PBE
data_AlPtCl2
_chemical_formula_sum 'Al4 Pt4 Cl8'
_space_group_name_H-M_alt 'F -4 3 m'
_space_group_IT_number 216
_space_group_name_Hall 'F -4 2 3'
_cell_length_a 6.554
_cell_length_b 6.554
_cell_length_c 6.554
_cell_angle_alpha 90.00
_cell_angle_beta 90.00
_cell_angle_gamma 90.00
loop_
_atom_site_label
_atom_site_type_symbol
_atom_site_fract_x
_atom_site_fract_y
_atom_site_fract_z
_atom_site_occupancy
Al1 Al 0.000 0.000 0.000 1
Pt1 Pt 0.250 0.250 0.250 1
Cl1 Cl 0.000 0.000 0.500 1
Cl2 Cl 0.250 0.250 0.750 1
# - E_form (uncorrected): 0.15 eV per atom
# - E above lowest polymorph: 872 meV/atom
# - M_tot: 0.00 Bohr magnetons per cell

=====

[20]
# AlPt2Cl, optimized geometry, DFT GGA-PBE
data_AlPt2Cl
_chemical_formula_sum 'Al4 Pt8 Cl4'
_space_group_name_H-M_alt 'F m -3 m'
_space_group_IT_number 225
_space_group_name_Hall '-F 4 2 3'
_cell_length_a 6.338
_cell_length_b 6.338
_cell_length_c 6.338
_cell_angle_alpha 90.00
_cell_angle_beta 90.00
_cell_angle_gamma 90.00
loop_
_atom_site_label
_atom_site_type_symbol
_atom_site_fract_x
_atom_site_fract_y
_atom_site_fract_z
_atom_site_occupancy
Al1 Al 0.000 0.000 0.000 1
Pt1 Pt 0.250 0.250 0.250 1
Cl1 Cl 0.000 0.000 0.500 1
# - E_form (uncorrected): -0.02 eV per atom
# - E above lowest polymorph: 502 meV/atom
# - M_tot: 0.00 Bohr magnetons per cell